# 1
YTaTe2Pb: optimized geometry, PBE.

Cell: 5.7087 5.7087 5.7771 Å, 90.00 90.00 90.00°
Last column: nearest neighbours and their distance in Å.
Sites, in units of the cell vectors:
Y1 0.0000 0.0000 0.0000  4 Te 2.85, 2 Pb 2.89
Ta1 0.5000 0.5000 0.5000  4 Pb 4.04, 8 Te 4.06
Te1 0.0000 0.5000 0.0000  2 Y 2.85
Te2 0.5000 0.0000 0.0000  2 Y 2.85
Pb1 0.0000 0.0000 0.5000  2 Y 2.89

Output
**Total DFT energy (no corrections)**: -4.654 eV per atom
**N(E_F)**: 5.875 states/eV/f.u.
**Crystal system**: tetragonal
**Calculated volume**: 188.27 Å³/cell
**Magnetization**: 3.16 Bohr magnetons per cell


# 2
TaTi8Pb2: optimized geometry, PBE.

Cell: 7.7216 7.7216 7.7216 Å, 144.20 128.82 64.03°
Last column: nearest neighbours and their distance in Å.
Sites, in units of the cell vectors:
Ta1 0.0000 0.0000 0.0000  4 Ti 2.56
Ti1 0.1520 0.6520 0.5000  2 Ti 2.74, 2 Pb 3.06
Ti2 0.1681 0.8741 0.2940  1 Ta 2.56, 1 Ti 2.75
Ti3 0.2820 0.5000 0.7820  7 Ti 2.74-2.91, 2 Pb 3.01, 2 Ta 3.03
Ti4 0.4199 0.1259 0.2940  1 Ta 2.56, 1 Ti 2.75
Ti5 0.5801 0.8741 0.7060  1 Ta 2.56, 1 Ti 2.75
Ti6 0.7180 0.5000 0.2180  7 Ti 2.74-2.91, 2 Pb 3.01, 2 Ta 3.03
Ti7 0.8319 0.1259 0.7060  1 Ta 2.56, 1 Ti 2.75
Ti8 0.8480 0.3480 0.5000  2 Ti 2.74, 2 Pb 3.06
Pb1 0.2990 0.2990 0.0000  10 Ti 2.91-3.06
Pb2 0.7010 0.7010 0.0000  10 Ti 2.91-3.06

Output
**Total DFT energy (no corrections)**: -7.455 eV per atom
**N(E_F)**: 10.601 states/eV/f.u.
**Crystal system**: orthorhombic
**Calculated volume**: 207.28 Å³/cell
**Magnetization**: 0.00 Bohr magnetons per cell


# 3
TaTiPb2: optimized geometry, PBE.

Cell: 6.4553 6.4553 12.5680 Å, 90.00 90.00 90.00°
Last column: nearest neighbours and their distance in Å.
Sites, in units of the cell vectors:
Ta1 0.0000 0.0000 0.0000  4 Pb 2.77
Ta2 0.0000 0.5000 0.2500  4 Pb 2.77
Ta3 0.5000 0.0000 0.7500  4 Pb 2.77
Ta4 0.5000 0.5000 0.5000  4 Pb 2.77
Ti1 0.0000 0.0000 0.5000  4 Pb 2.77
Ti2 0.0000 0.5000 0.7500  4 Pb 2.77
Ti3 0.5000 0.0000 0.2500  4 Pb 2.77
Ti4 0.5000 0.5000 0.0000  4 Pb 2.77
Pb1 0.2492 0.2500 0.1250  2 Ta 2.77, 2 Ti 2.77
Pb2 0.2500 0.7492 0.3750  2 Ta 2.77, 2 Ti 2.77
Pb3 0.2500 0.7508 0.8750  2 Ta 2.77, 2 Ti 2.77
Pb4 0.2508 0.2500 0.6250  2 Ta 2.77, 2 Ti 2.77
Pb5 0.7492 0.7500 0.6250  2 Ta 2.77, 2 Ti 2.77
Pb6 0.7500 0.2492 0.8750  2 Ta 2.77, 2 Ti 2.77
Pb7 0.7500 0.2508 0.3750  2 Ta 2.77, 2 Ti 2.77
Pb8 0.7508 0.7500 0.1250  2 Ta 2.77, 2 Ti 2.77

Output
**Total DFT energy (no corrections)**: -5.398 eV per atom
**N(E_F)**: 5.612 states/eV/f.u.
**Crystal system**: tetragonal
**Calculated volume**: 523.72 Å³/cell
**Magnetization**: 0.00 Bohr magnetons per cell


# 4
TaTi3Pb: optimized geometry, PBE.

Cell: 13.7747 13.7747 4.7418 Å, 90.00 90.00 167.94°
Last column: nearest neighbours and their distance in Å.
Sites, in units of the cell vectors:
Ta1 0.2219 0.7781 0.7500  3 Ti 2.67-2.96, 2 Ta 2.89
Ta2 0.7781 0.2219 0.2500  3 Ti 2.67-2.96, 2 Ta 2.89
Ti1 0.3193 0.6807 0.7500  1 Ta 2.67, 4 Ti 2.78-2.89
Ti2 0.3722 0.6278 0.2500  5 Ti 2.78-2.89, 2 Ta 2.96
Ti3 0.4743 0.5257 0.2500  5 Ti 2.76-2.89, 4 Pb 3.09
Ti4 0.5257 0.4743 0.7500  5 Ti 2.76-2.89, 4 Pb 3.09
Ti5 0.6278 0.3722 0.7500  5 Ti 2.78-2.89, 2 Ta 2.96
Ti6 0.6807 0.3193 0.2500  1 Ta 2.67, 4 Ti 2.78-2.89
Pb1 0.0748 0.9252 0.2500  2 Pb 2.89, 10 Ti 3.09-3.13
Pb2 0.9252 0.0748 0.7500  2 Pb 2.89, 10 Ti 3.09-3.13

Output
**Total DFT energy (no corrections)**: -7.658 eV per atom
**N(E_F)**: 6.930 states/eV/f.u.
**Crystal system**: orthorhombic
**Calculated volume**: 187.98 Å³/cell
**Magnetization**: 0.49 Bohr magnetons per cell


# 5
Ta2Ti5Pb: optimized geometry, PBE.

Cell: 7.6986 7.6986 7.6986 Å, 124.65 124.65 82.12°
Last column: nearest neighbours and their distance in Å.
Sites, in units of the cell vectors:
Ta1 0.1577 0.6577 0.8153  8 Ti 2.70-2.81
Ta2 0.3423 0.1577 0.5000  8 Ti 2.70-2.81
Ta3 0.6577 0.8423 0.5000  8 Ti 2.70-2.81
Ta4 0.8423 0.3423 0.1847  8 Ti 2.70-2.81
Ti1 0.0000 0.0000 0.0000  4 Ta 2.70, 2 Pb 2.90
Ti2 0.0151 0.7986 0.5000  3 Ta 2.73-2.81, 3 Ti 2.87-2.96, 2 Pb 2.96
Ti3 0.2014 0.7014 0.2165  3 Ta 2.73-2.81, 3 Ti 2.87-2.96, 2 Pb 2.96
Ti4 0.2986 0.5151 0.5000  3 Ta 2.73-2.81, 3 Ti 2.87-2.96, 2 Pb 2.96
Ti5 0.4849 0.9849 0.7835  3 Ta 2.73-2.81, 3 Ti 2.87-2.96, 2 Pb 2.96
Ti6 0.5000 0.5000 0.0000  4 Ta 2.70, 2 Pb 2.90
Ti7 0.5151 0.0151 0.2165  3 Ta 2.73-2.81, 3 Ti 2.87-2.96, 2 Pb 2.96
Ti8 0.7014 0.4849 0.5000  3 Ta 2.73-2.81, 3 Ti 2.87-2.96, 2 Pb 2.96
Ti9 0.7986 0.2986 0.7835  3 Ta 2.73-2.81, 3 Ti 2.87-2.96, 2 Pb 2.96
Ti10 0.9849 0.2014 0.5000  3 Ta 2.73-2.81, 3 Ti 2.87-2.96, 2 Pb 2.96
Pb1 0.2500 0.2500 0.0000  10 Ti 2.90-2.96
Pb2 0.7500 0.7500 0.0000  10 Ti 2.90-2.96

Output
**Total DFT energy (no corrections)**: -8.189 eV per atom
**N(E_F)**: 8.702 states/eV/f.u.
**Crystal system**: tetragonal
**Calculated volume**: 296.87 Å³/cell
**Magnetization**: 0.01 Bohr magnetons per cell


# 6
TaTiPb2: optimized geometry, PBE.

Cell: 6.9803 6.9803 6.9803 Å, 90.00 90.00 90.00°
Last column: nearest neighbours and their distance in Å.
Sites, in units of the cell vectors:
Ta1 0.0000 0.0000 0.0000  8 Pb 3.02
Ta2 0.0000 0.5000 0.5000  8 Pb 3.02
Ta3 0.5000 0.0000 0.5000  8 Pb 3.02
Ta4 0.5000 0.5000 0.0000  8 Pb 3.02
Ti1 0.0000 0.0000 0.5000  8 Pb 3.02
Ti2 0.0000 0.5000 0.0000  8 Pb 3.02
Ti3 0.5000 0.0000 0.0000  8 Pb 3.02
Ti4 0.5000 0.5000 0.5000  8 Pb 3.02
Pb1 0.2500 0.2500 0.2500  4 Ti 3.02, 4 Ta 3.02
Pb2 0.2500 0.2500 0.7500  4 Ta 3.02, 4 Ti 3.02
Pb3 0.2500 0.7500 0.2500  4 Ta 3.02, 4 Ti 3.02
Pb4 0.2500 0.7500 0.7500  4 Ta 3.02, 4 Ti 3.02
Pb5 0.7500 0.2500 0.2500  4 Ta 3.02, 4 Ti 3.02
Pb6 0.7500 0.2500 0.7500  4 Ta 3.02, 4 Ti 3.02
Pb7 0.7500 0.7500 0.2500  4 Ta 3.02, 4 Ti 3.02
Pb8 0.7500 0.7500 0.7500  4 Ta 3.02, 4 Ti 3.02

Output
**Total DFT energy (no corrections)**: -6.279 eV per atom
**N(E_F)**: 4.576 states/eV/f.u.
**Crystal system**: cubic
**Calculated volume**: 340.12 Å³/cell
**Magnetization**: 0.00 Bohr magnetons per cell


# 7
TaTi4Pb: optimized geometry, PBE.

Cell: 5.5489 6.5919 7.2357 Å, 102.63 109.21 107.17°
Last column: nearest neighbours and their distance in Å.
Sites, in units of the cell vectors:
Ta1 0.2317 0.4579 0.0650  1 Ta 2.70, 6 Ti 2.70-2.88, 1 Pb 3.02
Ta2 0.7683 0.5421 0.9350  1 Ta 2.70, 6 Ti 2.70-2.88, 1 Pb 3.02
Ti1 0.2427 0.7889 0.4025  5 Ti 2.76-3.02, 1 Ta 2.87, 1 Pb 3.06
Ti2 0.2634 0.9448 0.0812  5 Ti 2.65-2.83, 1 Ta 2.88, 1 Pb 2.92
Ti3 0.2833 0.6314 0.7638  2 Ta 2.73-2.86, 5 Ti 2.79-3.02, 2 Pb 2.95-2.99
Ti4 0.2982 0.1580 0.7854  2 Ti 2.65-2.83, 2 Ta 2.70-2.73, 2 Pb 2.93
Ti5 0.7018 0.8420 0.2146  2 Ti 2.65-2.83, 2 Ta 2.70-2.73, 2 Pb 2.93
Ti6 0.7167 0.3686 0.2362  2 Ta 2.73-2.86, 5 Ti 2.79-3.02, 2 Pb 2.95-2.99
Ti7 0.7366 0.0552 0.9188  5 Ti 2.65-2.83, 1 Ta 2.88, 1 Pb 2.92
Ti8 0.7573 0.2111 0.5975  5 Ti 2.76-3.02, 1 Ta 2.87, 1 Pb 3.06
Pb1 0.2073 0.2602 0.4003  9 Ti 2.92-3.26, 1 Ta 3.02
Pb2 0.7927 0.7398 0.5997  9 Ti 2.92-3.26, 1 Ta 3.02

Output
**Total DFT energy (no corrections)**: -7.832 eV per atom
**N(E_F)**: 6.868 states/eV/f.u.
**Crystal system**: triclinic
**Calculated volume**: 223.68 Å³/cell
**Magnetization**: 1.83 Bohr magnetons per cell


# 8
TaTi3Pb: optimized geometry, PBE.

Cell: 4.8614 4.8614 4.8614 Å, 90.00 90.00 90.00°
Last column: nearest neighbours and their distance in Å.
Sites, in units of the cell vectors:
Ta1 0.0000 0.0000 0.0000  6 Ti 2.43
Ti1 0.0000 0.0000 0.5000  2 Ta 2.43
Ti2 0.0000 0.5000 0.0000  2 Ta 2.43
Ti3 0.5000 0.0000 0.0000  2 Ta 2.43
Pb1 0.5000 0.5000 0.5000  12 Ti 3.44

Output
**Total DFT energy (no corrections)**: -6.964 eV per atom
**N(E_F)**: 7.254 states/eV/f.u.
**Crystal system**: cubic
**Calculated volume**: 114.89 Å³/cell
**Magnetization**: 1.37 Bohr magnetons per cell